(1)
## Cs2Cd5Au2 (PBE)

Data for crystalline Cs2Cd5Au2 at its relaxed geometry.

Calculated volume, Å³ per cell: 350.72
M_tot, μB/f.u.: 0.00

a = 5.386 Å, b = 5.386 Å, c = 12.091 Å
α = 90.00°, β = 90.00°, γ = 90.00°
Fractional coordinates of all 9 atoms:
Cs 0.000 0.000 0.000
Cs 0.000 0.000 0.500
Cd 0.500 0.000 0.250
Cd 0.500 0.000 0.750
Cd 0.500 0.500 0.500
Cd 0.000 0.500 0.250
Cd 0.000 0.500 0.750
Au 0.500 0.500 0.272
Au 0.500 0.500 0.728

(2)
## LiIn2Bi2 (PBE)

Data for crystalline LiIn2Bi2 at its relaxed geometry.

Offset from the most stable computed form, eV per atom: 0.000
Calculated volume, Å³ per cell: 136.11
M_tot, μB/f.u.: 0.00

a = 3.493 Å, b = 3.493 Å, c = 11.429 Å
α = 98.79°, β = 98.79°, γ = 90.00°
Fractional coordinates of all 5 atoms:
Li 0.000 0.000 0.000
In 0.804 0.804 0.607
In 0.196 0.196 0.393
Bi 0.589 0.589 0.178
Bi 0.411 0.411 0.822

(3)
## SrCd6Ag12 (PBE)

Data for crystalline SrCd6Ag12 at its relaxed geometry.

Calculated volume, Å³ per cell: 419.58
M_tot, μB/f.u.: 0.00

a = 7.751 Å, b = 7.751 Å, c = 7.751 Å
α = 103.47°, β = 103.47°, γ = 103.47°
Fractional coordinates of all 19 atoms:
Sr 0.000 0.000 0.000
Cd 0.696 0.291 0.291
Cd 0.291 0.291 0.696
Cd 0.291 0.696 0.291
Cd 0.709 0.709 0.304
Cd 0.304 0.709 0.709
Cd 0.709 0.304 0.709
Ag 0.889 0.111 0.500
Ag 0.886 0.636 0.636
Ag 0.636 0.636 0.886
Ag 0.364 0.114 0.364
Ag 0.364 0.364 0.114
Ag 0.114 0.364 0.364
Ag 0.111 0.500 0.889
Ag 0.500 0.889 0.111
Ag 0.111 0.889 0.500
Ag 0.889 0.500 0.111
Ag 0.500 0.111 0.889
Ag 0.636 0.886 0.636

(4)
## K2CdCu (PBE)

Data for crystalline K2CdCu at its relaxed geometry.

Calculated volume, Å³ per cell: 125.46
M_tot, μB/f.u.: 0.00

a = 5.656 Å, b = 5.656 Å, c = 5.656 Å
α = 121.25°, β = 121.25°, γ = 87.85°
Fractional coordinates of all 4 atoms:
Cd 0.500 0.500 0.000
Cu 0.750 0.250 0.500
K 0.000 0.000 0.000
K 0.250 0.750 0.500

(5)
## KNaTl2 (PBE)

Data for crystalline KNaTl2 at its relaxed geometry.

Offset from the most stable computed form, eV per atom: 0.061
Calculated volume, Å³ per cell: 134.68
M_tot, μB/f.u.: 0.00

a = 3.834 Å, b = 5.927 Å, c = 5.927 Å
α = 90.00°, β = 90.00°, γ = 90.00°
Fractional coordinates of all 4 atoms:
Na 0.500 0.000 0.000
Tl 0.000 0.000 0.500
Tl 0.000 0.500 0.000
K 0.500 0.500 0.500

(6)
## CdIrN2 (PBE)

Data for crystalline CdIrN2 at its relaxed geometry.

Formation energy without anion corrections, eV/atom: 0.667
Calculated volume, Å³ per cell: 54.94
M_tot, μB/f.u.: 0.00

a = 6.596 Å, b = 6.596 Å, c = 6.596 Å
α = 27.75°, β = 27.75°, γ = 27.75°
Fractional coordinates of all 4 atoms:
N 0.885 0.885 0.885
N 0.115 0.115 0.115
Ir 0.500 0.500 0.500
Cd 0.000 0.000 0.000

(7)
## SmY2Sb (PBE)

Data for crystalline SmY2Sb at its relaxed geometry.

Formation energy without anion corrections, eV/atom: -0.588
Offset from the most stable computed form, eV per atom: 0.000
Calculated volume, Å³ per cell: 246.22
M_tot, μB/f.u.: 0.78

a = 4.152 Å, b = 6.532 Å, c = 9.574 Å
α = 90.00°, β = 90.00°, γ = 108.54°
Site moments in Bohr magnetons follow the coordinates.
Fractional coordinates of all 8 atoms:
Sm 0.941 0.883 0.250  0.12
Sm 0.059 0.117 0.750  0.12
Y 0.363 0.726 0.545  0.12
Y 0.637 0.274 0.455  0.12
Y 0.363 0.726 0.955  0.12
Y 0.637 0.274 0.045  0.12
Sb 0.760 0.521 0.750  -0.01
Sb 0.240 0.479 0.250  -0.01

(8)
## HfZrCdIn (PBE)

Data for crystalline HfZrCdIn at its relaxed geometry.

Calculated volume, Å³ per cell: 86.64
M_tot, μB/f.u.: 0.00

a = 4.428 Å, b = 4.392 Å, c = 4.455 Å
α = 90.00°, β = 90.00°, γ = 90.00°
Fractional coordinates of all 4 atoms:
Hf 0.000 0.500 0.500
Zr 0.000 0.000 0.000
Cd 0.500 0.000 0.500
In 0.500 0.500 0.000

(9)
## Ho3AlGe (PBE)

Data for crystalline Ho3AlGe at its relaxed geometry.

Calculated volume, Å³ per cell: 517.89
M_tot, μB/f.u.: 0.00

a = 5.984 Å, b = 10.075 Å, c = 10.075 Å
α = 67.12°, β = 71.59°, γ = 71.59°
Fractional coordinates of all 20 atoms:
Ho 0.424 0.303 0.071
Ho 0.924 0.071 0.303
Ho 0.076 0.929 0.697
Ho 0.576 0.697 0.929
Ho 0.928 0.332 0.457
Ho 0.428 0.457 0.332
Ho 0.572 0.543 0.668
Ho 0.072 0.668 0.543
Ho 0.953 0.646 0.147
Ho 0.453 0.147 0.646
Ho 0.547 0.853 0.354
Ho 0.047 0.354 0.853
Al 0.250 0.791 0.209
Al 0.250 0.024 0.976
Al 0.750 0.209 0.791
Al 0.750 0.976 0.024
Ge 0.854 0.383 0.139
Ge 0.354 0.139 0.383
Ge 0.646 0.861 0.617
Ge 0.146 0.617 0.861

(10)
## FeTcOs (PBE)

Data for crystalline FeTcOs at its relaxed geometry.

Offset from the most stable computed form, eV per atom: 0.110
Calculated volume, Å³ per cell: 119.23
M_tot, μB/f.u.: 0.00

a = 2.689 Å, b = 2.689 Å, c = 19.034 Å
α = 90.00°, β = 90.00°, γ = 120.00°
Fractional coordinates of all 9 atoms:
Os 0.000 0.000 0.102
Os 0.333 0.667 0.768
Os 0.667 0.333 0.435
Tc 0.000 0.000 0.316
Tc 0.333 0.667 0.982
Tc 0.667 0.333 0.649
Fe 0.000 0.000 0.540
Fe 0.333 0.667 0.207
Fe 0.667 0.333 0.873

(11)
## MgCd4Te5 (PBE)

Data for crystalline MgCd4Te5 at its relaxed geometry.

Formation energy without anion corrections, eV/atom: -0.544
Calculated volume, Å³ per cell: 358.12
M_tot, μB/f.u.: 0.00

a = 4.663 Å, b = 4.663 Å, c = 19.204 Å
α = 83.03°, β = 83.03°, γ = 60.00°
Fractional coordinates of all 10 atoms:
Mg 0.950 0.950 0.151
Cd 0.551 0.551 0.348
Cd 0.150 0.150 0.549
Cd 0.750 0.750 0.751
Cd 0.349 0.349 0.952
Te 0.999 0.999 0.003
Te 0.601 0.601 0.197
Te 0.200 0.200 0.399
Te 0.800 0.800 0.600
Te 0.400 0.400 0.801

(12)
## Tb2CePt (PBE)

Data for crystalline Tb2CePt at its relaxed geometry.

Offset from the most stable computed form, eV per atom: 0.285
Calculated volume, Å³ per cell: 121.72
M_tot, μB/f.u.: 1.37

a = 3.629 Å, b = 3.629 Å, c = 10.875 Å
α = 80.39°, β = 80.39°, γ = 60.00°
Site moments in Bohr magnetons follow the coordinates.
Fractional coordinates of all 4 atoms:
Tb 0.108 0.108 0.676  -0.01
Tb 0.892 0.892 0.324  -0.01
Ce 0.000 0.000 0.000  1.06
Pt 0.500 0.500 0.500  0.00

(13)
## TmSi3Os3 (PBE)

Data for crystalline TmSi3Os3 at its relaxed geometry.

Formation energy without anion corrections, eV/atom: -0.211
Offset from the most stable computed form, eV per atom: 0.000
Calculated volume, Å³ per cell: 248.30
M_tot, μB/f.u.: 0.00

a = 6.628 Å, b = 6.628 Å, c = 7.566 Å
α = 64.02°, β = 64.02°, γ = 60.00°
Fractional coordinates of all 14 atoms:
Tm 0.335 0.335 0.996
Tm 0.665 0.665 0.004
Si 0.190 0.653 0.266
Si 0.891 0.190 0.266
Si 0.653 0.891 0.266
Si 0.347 0.109 0.734
Si 0.109 0.810 0.734
Si 0.810 0.347 0.734
Os 0.513 0.753 0.644
Os 0.753 0.089 0.644
Os 0.089 0.513 0.644
Os 0.911 0.487 0.356
Os 0.247 0.911 0.356
Os 0.487 0.247 0.356

(14)
## LiCu2Ni2 (PBE)

Data for crystalline LiCu2Ni2 at its relaxed geometry.

Offset from the most stable computed form, eV per atom: 0.302
Calculated volume, Å³ per cell: 67.47
M_tot, μB/f.u.: 0.72

a = 3.474 Å, b = 3.474 Å, c = 6.106 Å
α = 73.47°, β = 73.47°, γ = 90.00°
Site moments in Bohr magnetons follow the coordinates.
Fractional coordinates of all 5 atoms:
Ni 0.400 0.400 0.201  0.35
Ni 0.600 0.600 0.799  0.35
Cu 0.750 0.250 0.500  0.03
Cu 0.250 0.750 0.500  0.03
Li 0.000 0.000 0.000  -0.01

(15)
## AlSi2Ge (PBE)

Data for crystalline AlSi2Ge at its relaxed geometry.

Formation energy without anion corrections, eV/atom: 0.415
Offset from the most stable computed form, eV per atom: 0.194
Calculated volume, Å³ per cell: 65.94
M_tot, μB/f.u.: 0.00

a = 4.535 Å, b = 4.535 Å, c = 4.535 Å
α = 60.00°, β = 60.00°, γ = 60.00°
Fractional coordinates of all 4 atoms:
Ge 0.500 0.500 0.500
Si 0.250 0.250 0.250
Si 0.750 0.750 0.750
Al 0.000 0.000 0.000

(16)
## Ac2TbPuO8 (PBE)

Data for crystalline Ac2TbPuO8 at its relaxed geometry.

Formation energy without anion corrections, eV/atom: -2.995
Calculated volume, Å³ per cell: 185.96
M_tot, μB/f.u.: 1.00

a = 4.253 Å, b = 5.763 Å, c = 7.641 Å
α = 90.00°, β = 90.00°, γ = 96.72°
Site moments in Bohr magnetons follow the coordinates.
Fractional coordinates of all 12 atoms:
Ac 0.500 0.500 0.747  -0.01
Ac 0.500 0.500 0.253  -0.01
Tb 0.000 0.000 0.500  0.00
Pu 0.000 0.000 0.000  1.48
O 0.058 0.779 0.217  -0.06
O 0.597 0.802 0.000  -0.07
O 0.942 0.221 0.217  -0.06
O 0.942 0.221 0.783  -0.06
O 0.403 0.198 0.000  -0.07
O 0.058 0.779 0.783  -0.06
O 0.546 0.757 0.500  -0.02
O 0.454 0.243 0.500  -0.02

(17)
## K2WS4 (PBE)

Data for crystalline K2WS4 at its relaxed geometry.

Formation energy without anion corrections, eV/atom: -0.983
Offset from the most stable computed form, eV per atom: 0.000
Calculated volume, Å³ per cell: 837.55
M_tot, μB/f.u.: 0.00

a = 7.001 Å, b = 9.592 Å, c = 12.472 Å
α = 90.00°, β = 90.00°, γ = 90.00°
Fractional coordinates of all 28 atoms:
K 0.750 0.047 0.836
K 0.250 0.953 0.164
K 0.250 0.453 0.336
K 0.750 0.547 0.664
K 0.750 0.346 0.110
K 0.250 0.654 0.890
K 0.250 0.154 0.610
K 0.750 0.846 0.390
W 0.750 0.255 0.434
W 0.250 0.745 0.566
W 0.250 0.245 0.934
W 0.750 0.755 0.066
S 0.496 0.153 0.366
S 0.504 0.847 0.634
S 0.504 0.347 0.866
S 0.996 0.847 0.634
S 0.496 0.653 0.134
S 0.004 0.153 0.366
S 0.004 0.653 0.134
S 0.996 0.347 0.866
S 0.750 0.480 0.393
S 0.250 0.520 0.607
S 0.250 0.020 0.893
S 0.750 0.980 0.107
S 0.750 0.724 0.890
S 0.250 0.276 0.110
S 0.250 0.776 0.390
S 0.750 0.224 0.610

(18)
## TmTlCu (PBE)

Data for crystalline TmTlCu at its relaxed geometry.

Calculated volume, Å³ per cell: 64.95
M_tot, μB/f.u.: 0.00

a = 3.473 Å, b = 4.647 Å, c = 4.647 Å
α = 120.00°, β = 90.00°, γ = 90.00°
Fractional coordinates of all 3 atoms:
Tl 0.167 0.000 0.000
Tm 0.667 0.667 0.333
Cu 0.167 0.333 0.667

(19)
## Sc2TeOs (PBE)

Data for crystalline Sc2TeOs at its relaxed geometry.

Formation energy without anion corrections, eV/atom: -0.346
Calculated volume, Å³ per cell: 77.54
M_tot, μB/f.u.: 0.00

a = 5.598 Å, b = 5.598 Å, c = 5.598 Å
α = 138.05°, β = 138.05°, γ = 60.82°
Fractional coordinates of all 4 atoms:
Os 0.750 0.250 0.500
Sc 0.000 0.000 0.000
Sc 0.250 0.750 0.500
Te 0.500 0.500 0.000

(20)
## ScReHgO6 (PBE)

Data for crystalline ScReHgO6 at its relaxed geometry.

Formation energy without anion corrections, eV/atom: -1.755
Calculated volume, Å³ per cell: 120.77
M_tot, μB/f.u.: 0.00

a = 5.341 Å, b = 5.340 Å, c = 4.890 Å
α = 89.99°, β = 90.04°, γ = 59.98°
Fractional coordinates of all 9 atoms:
Sc 0.667 0.667 0.500
Re 0.333 0.333 0.500
Hg 0.000 0.000 0.000
O 0.028 0.355 0.282
O 0.355 0.028 0.718
O 0.618 0.354 0.718
O 0.028 0.617 0.718
O 0.354 0.618 0.282
O 0.617 0.028 0.282

(21)
## NbVCrNi (PBE)

Data for crystalline NbVCrNi at its relaxed geometry.

Calculated volume, Å³ per cell: 54.48
M_tot, μB/f.u.: 0.00

a = 4.255 Å, b = 4.255 Å, c = 4.255 Å
α = 60.00°, β = 60.00°, γ = 60.00°
Fractional coordinates of all 4 atoms:
Ni 0.250 0.250 0.250
Nb 0.500 0.500 0.500
V 0.000 0.000 0.000
Cr 0.750 0.750 0.750

(22)
## CdTcOs2 (PBE)

Data for crystalline CdTcOs2 at its relaxed geometry.

Calculated volume, Å³ per cell: 63.50
M_tot, μB/f.u.: 0.00

a = 2.740 Å, b = 2.740 Å, c = 9.500 Å
α = 90.00°, β = 90.00°, γ = 117.06°
Fractional coordinates of all 4 atoms:
Cd 0.500 0.500 0.750
Os 0.000 0.000 0.017
Os 0.000 0.000 0.483
Tc 0.500 0.500 0.250

(23)
## Ba2LiAlGe2 (PBE)

Data for crystalline Ba2LiAlGe2 at its relaxed geometry.

Calculated volume, Å³ per cell: 330.17
M_tot, μB/f.u.: 0.00

a = 6.578 Å, b = 6.531 Å, c = 8.974 Å
α = 111.34°, β = 111.50°, γ = 90.00°
Fractional coordinates of all 12 atoms:
Ba 0.402 0.161 0.322
Ba 0.598 0.839 0.678
Ba 0.080 0.339 0.678
Ba 0.920 0.661 0.322
Li 0.000 0.750 0.000
Li 0.000 0.250 0.000
Al 0.500 0.750 0.000
Al 0.500 0.250 0.000
Ge 0.830 0.096 0.191
Ge 0.361 0.596 0.191
Ge 0.639 0.404 0.809
Ge 0.170 0.904 0.809

(24)
## RbCuSb2Te (PBE)

Data for crystalline RbCuSb2Te at its relaxed geometry.

Formation energy without anion corrections, eV/atom: 1.611
Offset from the most stable computed form, eV per atom: 1.562
Calculated volume, Å³ per cell: 228.98
M_tot, μB/f.u.: 0.00

a = 6.096 Å, b = 6.096 Å, c = 6.163 Å
α = 90.00°, β = 90.00°, γ = 90.00°
Fractional coordinates of all 5 atoms:
Sb 0.000 0.500 0.000
Sb 0.500 0.000 0.000
Te 0.000 0.000 0.500
Cu 0.500 0.500 0.500
Rb 0.000 0.000 0.000

no.,E (eV per cell)
1,-13.747
2,-15.750
3,-40.831
4,-6.078
5,-7.176
6,-23.757
7,-48.246
8,-22.774
9,-95.331
10,-89.276
11,-26.400
12,-22.261
13,-111.810
14,-20.138
15,-17.548
16,-102.782
17,-154.149
18,-11.550
19,-28.417
20,-64.624
21,-34.505
22,-31.459
23,-43.790
24,-8.395